YZr2Sc2 | PBE | optimized geometry

abc: 4.262 4.262 14.208
angles: 90.00 90.00 90.00
Space group I4/mmm (No. 139)
Unique sites:
1 Y 0.000 0.000 0.000
2 Zr 0.000 0.500 0.250
3 Sc 0.000 0.000 0.401

For the electronic total energy, the calculation gives -6.92 eV/atom. The energy relative to the elements comes out at 0.323 eV per atom. The calculation puts the total moment at 0.1 μB per cell.

ZnSnSb | PBE | optimized geometry

abc: 6.827 6.827 6.827
angles: 90.00 90.00 90.00
Space group F-43m (No. 216)
Unique sites:
1 Zn 0.000 0.000 0.000
2 Sn 0.250 0.250 0.250
3 Sb 0.250 0.250 0.750

For the electronic total energy, the calculation gives -3.02 eV/atom.

Lu4TlN3 | PBE | optimized geometry

abc: 3.3881 3.3881 26.2166
angles: 90.00 90.00 120.00
Space group P6_3/mmc (No. 194)
Unique sites:
1 Lu 0.0000 0.0000 0.1517
2 Lu 0.3333 0.6667 0.0504
3 Tl 0.3333 0.6667 0.2500
4 N 0.0000 0.0000 0.0000
5 N 0.3333 0.6667 0.6062

For the electronic total energy, the calculation gives -7.16 eV/atom. The calculation puts the total moment at 0.0 μB per cell.